Record 1
A plane-wave DFT calculation with GGA-PBE was carried out for a relaxed Co6CuPt12 crystal.

- Crystal system: trigonal
- E_form: -7.7 kJ per mole of atoms
- Raw total energy: -6.36 eV per atom

Cell lengths 11.8603, 11.8603, 6.6693 Å; angles 90.00, 90.00, 120.00 degrees
Space group R-3 (No. 148, hexagonal axes)
Asymmetric unit:
Co1 0.0354 0.7513 0.3330 x18
Cu1 0.0000 0.0000 0.0000 x3
Pt1 0.0131 0.8717 0.6646 x18
Pt2 0.0662 0.5064 0.6710 x18

---

Record 2
A plane-wave DFT calculation with GGA-PBE was carried out for a relaxed Co2CuPt crystal.

- Crystal system: monoclinic
- E_form: 1.0 kJ per mole of atoms
- Raw total energy: -6.08 eV per atom

Cell lengths 8.564, 2.650, 4.521 Å; angles 90.00, 100.92, 90.00 degrees
Space group Cm (No. 8)
Asymmetric unit:
Co1 0.000 0.000 0.000 x2
Co2 0.241 0.500 0.224 x2
Cu1 0.248 0.000 0.750 x2
Pt1 0.492 0.000 0.492 x2

---

It is found that the Fermi-level density of states values, taken in the order of the records, are 67.1, 9.8 states/eV/cell.